1.
Density functional theory data (GGA-PBEsol) for a relaxed structure of CaIrOs2.

Summary:
The calculation puts the magnetization at 0.001 Bohr magnetons per cell. Its crystal system is monoclinic. Its total energy is -8.5354 eV/atom.

CIF file:
```
data_CaIrOs2
_symmetry_space_group_name_H-M 'P 1 2/m 1'
_symmetry_Int_Tables_number 10
_cell_length_a 2.751
_cell_length_b 4.726
_cell_length_c 4.964
_cell_angle_alpha 90.00
_cell_angle_beta 97.56
_cell_angle_gamma 90.00
loop_
_symmetry_equiv_pos_as_xyz
'x,y,z'
'-x,-y,-z'
'-x,y,-z'
'x,-y,z'
loop_
_atom_site_label
_atom_site_fract_x
_atom_site_fract_y
_atom_site_fract_z
Ca1 0.000 0.000 0.000
Ir1 0.500 0.000 0.500
Os1 0.322 0.500 0.732
```

2.
Density functional theory data (GGA-PBEsol) for a relaxed structure of Mg2AlTl.

Summary:
The calculation puts the magnetization at 0.000 Bohr magnetons per cell. Its crystal system is orthorhombic. Its total energy is -2.5402 eV/atom.

CIF file:
```
data_Mg2AlTl
_symmetry_space_group_name_H-M 'P m m m'
_symmetry_Int_Tables_number 47
_cell_length_a 3.196
_cell_length_b 4.179
_cell_length_c 6.364
_cell_angle_alpha 90.00
_cell_angle_beta 90.00
_cell_angle_gamma 90.00
loop_
_symmetry_equiv_pos_as_xyz
'x,y,z'
'-x,-y,-z'
'-x,-y,z'
'x,y,-z'
'x,-y,-z'
'-x,y,z'
'-x,y,-z'
'x,-y,z'
loop_
_atom_site_label
_atom_site_fract_x
_atom_site_fract_y
_atom_site_fract_z
Mg1 0.000 0.000 0.237
Al1 0.500 0.500 0.000
Tl1 0.500 0.500 0.500
```

3.
Density functional theory data (GGA-PBEsol) for a relaxed structure of KCaSb2.

Summary:
As for the uncorrected formation energy: -129 kJ/mol of formula units. The calculation puts the magnetization at 0.001 Bohr magnetons per cell. Its crystal system is tetragonal.

CIF file:
```
data_KCaSb2
_symmetry_space_group_name_H-M 'I -4 2 d'
_symmetry_Int_Tables_number 122
_symmetry_space_group_name_Hall 'I -4 2bw'
_cell_length_a 5.584
_cell_length_b 5.584
_cell_length_c 20.595
_cell_angle_alpha 90.00
_cell_angle_beta 90.00
_cell_angle_gamma 90.00
loop_
_atom_site_label
_atom_site_fract_x
_atom_site_fract_y
_atom_site_fract_z
K1 0.000 0.000 0.000
Ca1 0.000 0.000 0.500
Sb1 0.126 0.250 0.625
```

4.
Density functional theory data (GGA-PBEsol) for a relaxed structure of CeAl6Pd.

Summary:
The calculation puts the magnetization at 0.580 Bohr magnetons per cell. Its crystal system is tetragonal. Its total energy is -5.0698 eV/atom.

CIF file:
```
data_CeAl6Pd
_symmetry_space_group_name_H-M 'P 4/m m m'
_symmetry_Int_Tables_number 123
_symmetry_space_group_name_Hall '-P 4 2'
_cell_length_a 4.263
_cell_length_b 4.263
_cell_length_c 8.247
_cell_angle_alpha 90.00
_cell_angle_beta 90.00
_cell_angle_gamma 90.00
loop_
_atom_site_label
_atom_site_fract_x
_atom_site_fract_y
_atom_site_fract_z
Ce1 0.000 0.000 0.000
Al1 0.000 0.500 0.332
Al2 0.500 0.500 0.147
Pd1 0.000 0.000 0.500
```

5.
Density functional theory data (GGA-PBEsol) for a relaxed structure of TaMnSb2.

Summary:
As for the uncorrected formation energy: 39 kJ/mol of formula units. The calculation puts the magnetization at 2.282 Bohr magnetons per cell. Its crystal system is tetragonal.

CIF file:
```
data_TaMnSb2
_symmetry_space_group_name_H-M 'P 4 m m'
_symmetry_Int_Tables_number 99
_cell_length_a 3.529
_cell_length_b 3.529
_cell_length_c 6.087
_cell_angle_alpha 90.00
_cell_angle_beta 90.00
_cell_angle_gamma 90.00
loop_
_symmetry_equiv_pos_as_xyz
'x,y,z'
'-y,x,z'
'-x,-y,z'
'y,-x,z'
'-x,y,z'
'y,x,z'
'x,-y,z'
'-y,-x,z'
loop_
_atom_site_label
_atom_site_fract_x
_atom_site_fract_y
_atom_site_fract_z
Ta1 0.000 0.000 0.000
Mn1 0.500 0.500 0.273
Sb1 0.000 0.000 0.458
Sb2 0.500 0.500 0.803
```

6.
Density functional theory data (GGA-PBEsol) for a relaxed structure of KSrPb.

Summary:
The calculation puts the magnetization at 0.000 Bohr magnetons per cell. Its crystal system is trigonal. Its total energy is -2.5125 eV/atom.

CIF file:
```
data_KSrPb
_symmetry_space_group_name_H-M 'P 3 m 1'
_symmetry_Int_Tables_number 156
_cell_length_a 5.6583
_cell_length_b 5.6583
_cell_length_c 3.7512
_cell_angle_alpha 90.00
_cell_angle_beta 90.00
_cell_angle_gamma 120.00
loop_
_symmetry_equiv_pos_as_xyz
'x,y,z'
'-y,x-y,z'
'-x+y,-x,z'
'-y,-x,z'
'-x+y,y,z'
'x,x-y,z'
loop_
_atom_site_label
_atom_site_fract_x
_atom_site_fract_y
_atom_site_fract_z
K1 0.0000 0.0000 0.0000
Sr1 0.6667 0.3333 0.2303
Pb1 0.3333 0.6667 0.6317
```

7.
Density functional theory data (GGA-PBEsol) for a relaxed structure of CaMg30VO32.

Summary:
As for the uncorrected formation energy: -16675 kJ/mol of formula units. The calculation puts the magnetization at 3.000 Bohr magnetons per cell. Its crystal system is tetragonal.

CIF file:
```
data_CaMg30VO32
_symmetry_space_group_name_H-M 'P 4/m m m'
_symmetry_Int_Tables_number 123
_symmetry_space_group_name_Hall '-P 4 2'
_cell_length_a 8.480
_cell_length_b 8.480
_cell_length_c 8.493
_cell_angle_alpha 90.00
_cell_angle_beta 90.00
_cell_angle_gamma 90.00
loop_
_atom_site_label
_atom_site_fract_x
_atom_site_fract_y
_atom_site_fract_z
Ca1 0.000 0.000 0.000
Mg1 0.000 0.253 0.253
Mg2 0.000 0.500 0.000
Mg3 0.000 0.500 0.500
Mg4 0.250 0.250 0.500
Mg5 0.250 0.500 0.250
Mg6 0.253 0.253 0.000
Mg7 0.500 0.500 0.000
Mg8 0.500 0.500 0.500
V1 0.000 0.000 0.500
O1 0.000 0.000 0.258
O2 0.000 0.254 0.500
O3 0.000 0.263 0.000
O4 0.000 0.500 0.252
O5 0.250 0.250 0.250
O6 0.251 0.500 0.500
O7 0.252 0.500 0.000
O8 0.500 0.500 0.251
```

8.
Density functional theory data (GGA-PBEsol) for a relaxed structure of KWBr2.

Summary:
As for the uncorrected formation energy: 172 kJ/mol of formula units. The calculation puts the magnetization at 0.431 Bohr magnetons per cell. Its crystal system is tetragonal.

CIF file:
```
data_KWBr2
_symmetry_space_group_name_H-M 'P 4 m m'
_symmetry_Int_Tables_number 99
_cell_length_a 3.545
_cell_length_b 3.545
_cell_length_c 7.596
_cell_angle_alpha 90.00
_cell_angle_beta 90.00
_cell_angle_gamma 90.00
loop_
_symmetry_equiv_pos_as_xyz
'x,y,z'
'-y,x,z'
'-x,-y,z'
'y,-x,z'
'-x,y,z'
'y,x,z'
'x,-y,z'
'-y,-x,z'
loop_
_atom_site_label
_atom_site_fract_x
_atom_site_fract_y
_atom_site_fract_z
K1 0.000 0.000 0.000
W1 0.500 0.500 0.376
Br1 0.000 0.000 0.472
Br2 0.500 0.500 0.737
```

9.
Density functional theory data (GGA-PBEsol) for a relaxed structure of BaAgMo.

Summary:
The calculation puts the magnetization at 12.050 Bohr magnetons per cell. Its crystal system is cubic. Its total energy is -4.3532 eV/atom.

CIF file:
```
data_BaAgMo
_symmetry_space_group_name_H-M 'F -4 3 m'
_symmetry_Int_Tables_number 216
_symmetry_space_group_name_Hall 'F -4 2 3'
_cell_length_a 6.892
_cell_length_b 6.892
_cell_length_c 6.892
_cell_angle_alpha 90.00
_cell_angle_beta 90.00
_cell_angle_gamma 90.00
loop_
_atom_site_label
_atom_site_fract_x
_atom_site_fract_y
_atom_site_fract_z
Ba1 0.000 0.000 0.000
Ag1 0.000 0.000 0.500
Mo1 0.250 0.250 0.750
```

10.
Density functional theory data (GGA-PBEsol) for a relaxed structure of Mn2AgSe.

Summary:
As for the uncorrected formation energy: 99 kJ/mol of formula units. The calculation puts the magnetization at 16.567 Bohr magnetons per cell. Its crystal system is trigonal.

CIF file:
```
data_Mn2AgSe
_symmetry_space_group_name_H-M 'R 3 m'
_symmetry_Int_Tables_number 160
_symmetry_space_group_name_Hall 'R 3 -2"'
_cell_length_a 2.9315
_cell_length_b 2.9315
_cell_length_c 25.3631
_cell_angle_alpha 90.00
_cell_angle_beta 90.00
_cell_angle_gamma 120.00
loop_
_atom_site_label
_atom_site_fract_x
_atom_site_fract_y
_atom_site_fract_z
Mn1 0.0000 0.0000 0.0000
Mn2 0.0000 0.0000 0.2561
Ag1 0.0000 0.0000 0.5035
Se1 0.0000 0.0000 0.7299
```

11.
Density functional theory data (GGA-PBEsol) for a relaxed structure of Cs2ZrMnMo4O16.

Summary:
As for the uncorrected formation energy: -5082 kJ/mol of formula units. The calculation puts the magnetization at 10.000 Bohr magnetons per cell. Its crystal system is monoclinic.

CIF file:
```
data_Cs2ZrMnMo4O16
_symmetry_space_group_name_H-M 'C 1 2/m 1'
_symmetry_Int_Tables_number 12
_cell_length_a 18.838
_cell_length_b 5.828
_cell_length_c 10.093
_cell_angle_alpha 90.00
_cell_angle_beta 122.20
_cell_angle_gamma 90.00
loop_
_symmetry_equiv_pos_as_xyz
'x,y,z'
'-x,-y,-z'
'-x,y,-z'
'x,-y,z'
'x+1/2,y+1/2,z'
'-x+1/2,-y+1/2,-z'
'-x+1/2,y+1/2,-z'
'x+1/2,-y+1/2,z'
loop_
_atom_site_label
_atom_site_fract_x
_atom_site_fract_y
_atom_site_fract_z
Cs1 0.244 0.000 0.234
Zr1 0.000 0.500 0.500
Mn1 0.000 0.000 0.000
Mo1 0.111 0.500 0.947
Mo2 0.114 0.000 0.445
O1 0.076 0.500 0.740
O2 0.077 0.250 0.996
O3 0.078 0.253 0.494
O4 0.080 0.000 0.246
O5 0.219 0.500 0.056
O6 0.222 0.000 0.550
```

12.
Density functional theory data (GGA-PBEsol) for a relaxed structure of LaTaNiOs2.

Summary:
The calculation puts the magnetization at 0.000 Bohr magnetons per cell. Its crystal system is tetragonal. Its total energy is -8.8111 eV/atom.

CIF file:
```
data_LaTaNiOs2
_symmetry_space_group_name_H-M 'P 4/m m m'
_symmetry_Int_Tables_number 123
_symmetry_space_group_name_Hall '-P 4 2'
_cell_length_a 4.776
_cell_length_b 4.776
_cell_length_c 4.574
_cell_angle_alpha 90.00
_cell_angle_beta 90.00
_cell_angle_gamma 90.00
loop_
_atom_site_label
_atom_site_fract_x
_atom_site_fract_y
_atom_site_fract_z
La1 0.000 0.000 0.000
Ta1 0.500 0.500 0.500
Ni1 0.500 0.500 0.000
Os1 0.000 0.500 0.500
```

13.
Density functional theory data (GGA-PBEsol) for a relaxed structure of CdTeMo2.

Summary:
As for the uncorrected formation energy: 279 kJ/mol of formula units. The calculation puts the magnetization at 0.002 Bohr magnetons per cell. Its crystal system is monoclinic.

CIF file:
```
data_CdTeMo2
_symmetry_space_group_name_H-M 'C 1 2/m 1'
_symmetry_Int_Tables_number 12
_cell_length_a 5.773
_cell_length_b 8.870
_cell_length_c 2.981
_cell_angle_alpha 90.00
_cell_angle_beta 109.38
_cell_angle_gamma 90.00
loop_
_symmetry_equiv_pos_as_xyz
'x,y,z'
'-x,-y,-z'
'-x,y,-z'
'x,-y,z'
'x+1/2,y+1/2,z'
'-x+1/2,-y+1/2,-z'
'-x+1/2,y+1/2,-z'
'x+1/2,-y+1/2,z'
loop_
_atom_site_label
_atom_site_fract_x
_atom_site_fract_y
_atom_site_fract_z
Cd1 0.000 0.000 0.000
Te1 0.000 0.500 0.000
Mo1 0.250 0.250 0.500
```

14.
Density functional theory data (GGA-PBEsol) for a relaxed structure of BeAg2Ru.

Summary:
The calculation puts the magnetization at 0.001 Bohr magnetons per cell. Its crystal system is monoclinic. Its total energy is -4.7489 eV/atom.

CIF file:
```
data_BeAg2Ru
_symmetry_space_group_name_H-M 'C 1 2/m 1'
_symmetry_Int_Tables_number 12
_cell_length_a 5.185
_cell_length_b 9.298
_cell_length_c 2.610
_cell_angle_alpha 90.00
_cell_angle_beta 115.23
_cell_angle_gamma 90.00
loop_
_symmetry_equiv_pos_as_xyz
'x,y,z'
'-x,-y,-z'
'-x,y,-z'
'x,-y,z'
'x+1/2,y+1/2,z'
'-x+1/2,-y+1/2,-z'
'-x+1/2,y+1/2,-z'
'x+1/2,-y+1/2,z'
loop_
_atom_site_label
_atom_site_fract_x
_atom_site_fract_y
_atom_site_fract_z
Be1 0.000 0.000 0.000
Ag1 0.250 0.250 0.500
Ru1 0.000 0.500 0.000
```

15.
Density functional theory data (GGA-PBEsol) for a relaxed structure of Zn2CuAu.

Summary:
The calculation puts the magnetization at 0.000 Bohr magnetons per cell. Its crystal system is tetragonal. Its total energy is -3.0317 eV/atom.

CIF file:
```
data_Zn2CuAu
_symmetry_space_group_name_H-M 'I -4 m 2'
_symmetry_Int_Tables_number 119
_symmetry_space_group_name_Hall 'I -4 -2'
_cell_length_a 3.738
_cell_length_b 3.738
_cell_length_c 7.939
_cell_angle_alpha 90.00
_cell_angle_beta 90.00
_cell_angle_gamma 90.00
loop_
_atom_site_label
_atom_site_fract_x
_atom_site_fract_y
_atom_site_fract_z
Zn1 0.000 0.000 0.000
Zn2 0.000 0.500 0.250
Cu1 0.000 0.500 0.750
Au1 0.000 0.000 0.500
```

16.
Density functional theory data (GGA-PBEsol) for a relaxed structure of La2ScTa.

Summary:
The calculation puts the magnetization at 0.000 Bohr magnetons per cell. Its crystal system is orthorhombic. Its total energy is -7.0631 eV/atom.

CIF file:
```
data_La2ScTa
_symmetry_space_group_name_H-M 'P m m m'
_symmetry_Int_Tables_number 47
_cell_length_a 3.242
_cell_length_b 4.728
_cell_length_c 6.610
_cell_angle_alpha 90.00
_cell_angle_beta 90.00
_cell_angle_gamma 90.00
loop_
_symmetry_equiv_pos_as_xyz
'x,y,z'
'-x,-y,-z'
'-x,-y,z'
'x,y,-z'
'x,-y,-z'
'-x,y,z'
'-x,y,-z'
'x,-y,z'
loop_
_atom_site_label
_atom_site_fract_x
_atom_site_fract_y
_atom_site_fract_z
La1 0.000 0.000 0.243
Sc1 0.500 0.500 0.500
Ta1 0.500 0.500 0.000
```

17.
Density functional theory data (GGA-PBEsol) for a relaxed structure of La2MgTl.

Summary:
The calculation puts the magnetization at 0.000 Bohr magnetons per cell. Its crystal system is tetragonal. Its total energy is -4.0398 eV/atom.

CIF file:
```
data_La2MgTl
_symmetry_space_group_name_H-M 'P 4/m m m'
_symmetry_Int_Tables_number 123
_symmetry_space_group_name_Hall '-P 4 2'
_cell_length_a 5.462
_cell_length_b 5.462
_cell_length_c 4.003
_cell_angle_alpha 90.00
_cell_angle_beta 90.00
_cell_angle_gamma 90.00
loop_
_atom_site_label
_atom_site_fract_x
_atom_site_fract_y
_atom_site_fract_z
La1 0.000 0.500 0.000
Mg1 0.000 0.000 0.500
Tl1 0.500 0.500 0.500
```

18.
Density functional theory data (GGA-PBEsol) for a relaxed structure of CaCO3.

Summary:
As for the uncorrected formation energy: -1100 kJ/mol of formula units. The calculation puts the magnetization at 0.001 Bohr magnetons per cell. Its crystal system is hexagonal.

CIF file:
```
data_CaCO3
_symmetry_space_group_name_H-M 'P 65 2 2'
_symmetry_Int_Tables_number 179
_symmetry_space_group_name_Hall 'P 65 2 (0 0 1)'
_cell_length_a 7.1254
_cell_length_b 7.1254
_cell_length_c 25.4517
_cell_angle_alpha 90.00
_cell_angle_beta 90.00
_cell_angle_gamma 120.00
loop_
_atom_site_label
_atom_site_fract_x
_atom_site_fract_y
_atom_site_fract_z
Ca1 0.0116 0.0231 0.2500
Ca2 0.3127 0.6253 0.2500
Ca3 0.3281 0.6640 0.4167
C1 0.0000 0.3039 0.6667
C2 0.0454 0.3715 0.9948
O1 0.0000 0.1225 0.6667
O2 0.0072 0.3953 0.7113
O3 0.0338 0.3287 0.3845
O4 0.0508 0.3251 0.2957
O5 0.2272 0.5516 0.9979
```

19.
Density functional theory data (GGA-PBEsol) for a relaxed structure of YRu3.

Summary:
The calculation puts the magnetization at 0.000 Bohr magnetons per cell. Its crystal system is orthorhombic. Its total energy is -9.0971 eV/atom.

CIF file:
```
data_YRu3
_symmetry_space_group_name_H-M 'P m m 2'
_symmetry_Int_Tables_number 25
_cell_length_a 2.841
_cell_length_b 4.411
_cell_length_c 5.100
_cell_angle_alpha 90.00
_cell_angle_beta 90.00
_cell_angle_gamma 90.00
loop_
_symmetry_equiv_pos_as_xyz
'x,y,z'
'-x,-y,z'
'-x,y,z'
'x,-y,z'
loop_
_atom_site_label
_atom_site_fract_x
_atom_site_fract_y
_atom_site_fract_z
Y1 0.000 0.000 0.000
Ru1 0.000 0.500 0.636
Ru2 0.500 0.000 0.495
Ru3 0.500 0.500 0.212
```

20.
Density functional theory data (GGA-PBEsol) for a relaxed structure of SrPtCl.

Summary:
As for the uncorrected formation energy: -205 kJ/mol of formula units. The calculation puts the magnetization at 0.000 Bohr magnetons per cell. Its crystal system is tetragonal.

CIF file:
```
data_SrPtCl
_symmetry_space_group_name_H-M 'I 4 m m'
_symmetry_Int_Tables_number 107
_symmetry_space_group_name_Hall 'I 4 -2'
_cell_length_a 3.330
_cell_length_b 3.330
_cell_length_c 12.161
_cell_angle_alpha 90.00
_cell_angle_beta 90.00
_cell_angle_gamma 90.00
loop_
_atom_site_label
_atom_site_fract_x
_atom_site_fract_y
_atom_site_fract_z
Sr1 0.000 0.000 0.000
Pt1 0.000 0.000 0.665
Cl1 0.000 0.000 0.359
```